Entry 1:
GGA-PBE Er6Ag2Pd, relaxed; formation energy from the elements = -288 meV/atom
1.0
7.913 0.352 -2.921
-3.968 6.962 -2.657
-0.119 -0.352 8.434
Er Ag Pd
12 4 2
Cartesian
2.384 1.895 -0.482
3.414 5.261 0.335
-0.458 1.544 6.026
4.072 2.769 2.510
-1.571 4.909 5.326
-1.654 6.473 2.339
4.285 5.419 -3.169
0.412 1.701 2.522
5.398 2.053 -2.469
-0.245 4.193 0.346
5.481 0.490 0.518
1.442 5.067 3.339
1.411 4.566 -1.994
2.747 0.000 1.943
5.047 0.000 3.571
2.415 2.396 4.851
5.870 3.657 -0.032
3.946 7.314 -5.577

Entry 2:
GGA-PBE Rb12Na6Hg, relaxed; formation energy from the elements = 33 meV/atom
1.0
-4.725 -3.320 -9.429
-5.394 -6.550 7.089
-5.639 9.374 1.605
Na Rb Hg
6 12 1
Cartesian
-7.939 2.599 1.874
-7.594 0.275 -3.943
-8.057 3.110 -1.720
-8.164 -0.771 3.207
-7.702 -3.606 0.985
-7.820 -3.095 -2.609
-4.440 -2.692 -5.214
-4.876 -3.208 4.481
-11.618 -1.366 -3.109
-11.874 2.347 -0.134
-11.815 -2.092 1.596
-4.140 0.870 2.374
-3.944 1.596 -2.331
-10.883 2.711 -5.216
-10.816 -5.947 -0.803
-11.319 2.196 4.479
-3.885 -2.843 -0.601
-4.943 5.450 0.068
0.000 0.000 0.000

Entry 3:
GGA-PBE BaMn2, relaxed; formation energy from the elements = 1224 meV/atom
1.0
3.208 0.000 0.000
0.000 6.091 0.000
0.000 0.000 7.616
Mn Ba
4 2
Cartesian
0.808 0.000 4.439
2.400 0.000 3.177
2.413 3.046 6.985
0.796 3.046 0.631
0.000 0.000 0.000
1.604 3.046 3.808

Entry 4:
GGA-PBE K2PtI4Cl2, relaxed; E_form (uncorrected) = -885 meV per atom
1.0
-2.317 -1.689 -7.463
0.876 -7.034 -3.019
-6.335 -4.144 -1.435
I Pt K Cl
4 1 2 2
Cartesian
-1.373 -6.490 -4.700
-6.403 -6.378 -7.216
-5.114 -4.990 -3.879
-2.663 -7.877 -8.038
-1.158 -0.845 -3.732
-3.192 -4.115 -7.019
-4.585 -8.753 -4.898
-1.731 -2.866 -2.648
-6.046 -10.002 -9.269

Entry 5:
GGA-PBE SnS4, relaxed; E_form (uncorrected) = -81 meV per atom; energy above the lowest structure with this stoichiometry = 0 kJ/mol of formula units
1.0
3.749 0.073 0.685
1.884 3.241 0.685
0.328 0.193 11.371
S Sn
4 1
Cartesian
0.934 0.550 5.355
2.465 1.451 10.398
3.496 2.057 2.343
5.027 2.958 7.386
0.000 0.000 0.000

| no. | total DFT energy (no corrections) (eV per atom) | volume (Å³ per cell) |
| --- | --- | --- |
| 1 | -4.54 | 462.7 |
| 2 | -1.01 | 1292.7 |
| 3 | -5.53 | 148.8 |
| 4 | -2.90 | 330.8 |
| 5 | -4.18 | 135.7 |